No. 1
The following is a DFT calculation (GGA-PBE) of a relaxed HgP4N7 crystal.

Cell: 4.6897 5.0040 12.2871 Å, 90.00 90.00 90.00°
Element x y z (fractional)
Hg: 0.6075 0.8297 0.5000
Hg: 0.1075 0.1703 0.0000
N: 0.9213 0.1227 0.2863
N: 0.9213 0.1227 0.7137
N: 0.4245 0.2478 0.3652
N: 0.9852 0.2530 0.5000
N: 0.4245 0.2478 0.6348
N: 0.9245 0.7522 0.1348
N: 0.5220 0.3674 0.1498
N: 0.4852 0.7470 0.0000
N: 0.9245 0.7522 0.8652
N: 0.4213 0.8773 0.7863
N: 0.5220 0.3674 0.8502
N: 0.4213 0.8773 0.2137
N: 0.0220 0.6326 0.6498
N: 0.0220 0.6326 0.3502
P: 0.5945 0.6722 0.1185
P: 0.0945 0.3278 0.3815
P: 0.0688 0.8234 0.2483
P: 0.0945 0.3278 0.6185
P: 0.0688 0.8234 0.7517
P: 0.5688 0.1766 0.2517
P: 0.5688 0.1766 0.7483
P: 0.5945 0.6722 0.8815

raw formation energy = -0.1577 eV per atom

***

No. 2
The following is a DFT calculation (GGA-PBE) of a relaxed Nd5Pb2C crystal.

Cell: 5.2210 8.8073 13.0595 Å, 90.00 90.00 107.24°
Element x y z (fractional)
C: 0.8270 0.6540 0.7500
C: 0.1730 0.3460 0.2500
Nd: 0.2859 0.5718 0.0799
Nd: 0.7141 0.4282 0.5799
Nd: 0.9210 0.8421 0.8877
Nd: 0.0790 0.1579 0.3877
Nd: 0.9210 0.8421 0.6123
Nd: 0.7011 0.4022 0.2500
Nd: 0.2989 0.5978 0.7500
Nd: 0.7141 0.4282 0.9201
Nd: 0.2859 0.5718 0.4201
Nd: 0.0790 0.1579 0.1123
Pb: 0.8826 0.7653 0.3706
Pb: 0.1174 0.2347 0.8706
Pb: 0.1174 0.2347 0.6294
Pb: 0.8826 0.7653 0.1294

ΔH_f (0 K) = 3 kJ/mol of atoms

***

No. 3
The following is a DFT calculation (GGA-PBE) of a relaxed Ac8Tl2Co3 crystal.

Cell: 7.4031 8.3911 9.3277 Å, 116.73 105.74 90.00°
Element x y z (fractional)
Ac: 0.6084 0.6643 0.8059
Ac: 0.3916 0.8583 0.1941
Ac: 0.8985 0.1036 0.2072
Ac: 0.9582 0.6120 0.2240
Ac: 0.0418 0.3880 0.7760
Ac: 0.3916 0.3357 0.1941
Ac: 0.1015 0.8964 0.7928
Ac: 0.6084 0.1417 0.8059
Tl: 0.3316 0.2598 0.5195
Tl: 0.6684 0.7402 0.4805
Co: 0.0000 0.2517 0.0000
Co: 0.5000 0.0000 0.0000
Co: 0.0000 0.7483 0.0000

ΔH_f (0 K) = -5 kJ/mol of atoms

***

No. 4
The following is a DFT calculation (GGA-PBE) of a relaxed LaTb2Tm9 crystal.

Cell: 3.5030 11.1356 11.1356 Å, 120.00 90.00 90.00°
Element x y z (fractional)
Tm: 0.5000 0.3585 0.1792
Tm: 0.0000 0.5000 0.5000
Tm: 0.5000 0.8208 0.6415
Tm: 0.5000 0.6415 0.8208
Tm: 0.5000 0.8208 0.1792
Tm: 0.0000 0.0000 0.5000
Tm: 0.0000 0.5000 0.0000
Tm: 0.5000 0.1792 0.3585
Tm: 0.5000 0.1792 0.8208
Tb: 0.0000 0.3333 0.6667
Tb: 0.0000 0.6667 0.3333
La: 0.0000 0.0000 0.0000

ΔH_f (0 K) = 4 kJ/mol of atoms
polymorph energy (0 for the lowest one) = 10.7 meV per atom

***

Number 1: calculated volume 12.014 Å³/atom. Number 2: calculated volume 35.846 Å³/atom. Number 3: calculated volume 37.929 Å³/atom. Number 4: calculated volume 31.348 Å³/atom.